Entry from the Alexandria database: an optimized crystal structure of LaFe2I (PBE).

Geometry as POSCAR:
```
LaFe2I
1.0
0.0000 3.4290 3.4290
3.4290 0.0000 3.4290
3.4290 3.4290 0.0000
I Fe La
1 2 1
Direct
0.0000 0.0000 0.0000 I
0.2500 0.2500 0.2500 Fe
0.7500 0.7500 0.7500 Fe
0.5000 0.5000 0.5000 La
```

## Properties
**V**: 80.6 Å³/cell
**Excess energy over the best structure of this formula in the dataset**: 0.59 eV per formula unit
**E_form (uncorrected)**: 0.586 eV per atom
**SG**: Fm-3m (225)
**Energy**: -5.264 eV per atom